Below is crystalline NbPbO at its relaxed geometry, with properties calculated at the PBE level.

Geometry as extended XYZ:
```
12
Lattice="13.037 0.000 0.000 0.000 3.055 0.000 -2.022 0.000 7.077" Properties=species:S:1:pos:R:3 pbc="T T T"
Nb -0.586 0.000 2.139
Nb 5.082 1.528 4.938
Nb 5.932 1.528 2.139
Nb 11.601 0.000 4.938
Pb 1.630 1.528 0.466
Pb 2.866 0.000 6.610
Pb 8.149 0.000 0.466
Pb 9.385 1.528 6.610
O 0.218 0.000 3.910
O 4.278 1.528 3.167
O 6.737 1.528 3.910
O 10.796 0.000 3.167
```

Calculated values
Raw formation energy ... -0.732 eV/atom
Total magnetic moment ... 0.0 Bohr magnetons per cell

***

Below is crystalline Ba2YAg2S4 at its relaxed geometry, with properties calculated at the PBE level.

Geometry as extended XYZ:
```
9
Lattice="7.928 -2.004 0.000 7.928 2.004 0.000 -3.256 0.000 7.089" Properties=species:S:1:pos:R:3 pbc="T T T"
Ba 1.896 0.000 0.566
Ba 10.703 0.000 6.523
Y -1.628 0.000 3.545
Ag 3.396 0.000 3.485
Ag 9.203 0.000 3.604
S 0.578 0.000 5.234
S 5.262 0.000 5.274
S 7.337 0.000 1.816
S 12.021 0.000 1.856
```

Calculated values
Raw formation energy ... -1.345 eV/atom
Total magnetic moment ... 0.0 Bohr magnetons per cell

***

Below is crystalline Cd2FeAs at its relaxed geometry, with properties calculated at the PBE level.

Geometry as extended XYZ:
```
16
Lattice="10.074 0.000 0.000 0.000 10.074 0.000 0.000 0.000 4.350" Properties=species:S:1:pos:R:3 pbc="T T T"
Cd 0.000 0.000 0.000
Cd 0.000 5.037 0.000
Cd 2.518 2.518 3.262
Cd 2.518 7.555 1.087
Cd 5.037 0.000 2.175
Cd 5.037 5.037 2.175
Cd 7.555 2.518 3.262
Cd 7.555 7.555 1.087
Fe 0.000 2.518 3.806
Fe 0.000 7.555 0.544
Fe 5.037 2.518 2.719
Fe 5.037 7.555 1.631
As 0.000 2.518 1.631
As 0.000 7.555 2.719
As 5.037 2.518 0.544
As 5.037 7.555 3.806
```

Calculated values
Formation enthalpy at 0 K ... 239 meV/atom
Total magnetic moment ... 2.5 Bohr magnetons per cell

***

Below is crystalline CoAs2Rh at its relaxed geometry, with properties calculated at the PBE level.

Geometry as extended XYZ:
```
4
Lattice="3.641 0.000 0.000 -1.820 3.153 0.000 0.000 0.000 5.269" Properties=species:S:1:pos:R:3 pbc="T T T"
Co 0.000 0.000 0.000
As 0.000 2.102 1.195
As 1.820 1.051 4.074
Rh 0.000 0.000 2.635
```

Calculated values
Energy above the lowest structure with this stoichiometry ... 0.000 eV/atom
Formation enthalpy at 0 K ... -334 meV/atom
Total magnetic moment ... 0.0 Bohr magnetons per cell

***

Below is crystalline Ca3SbOs at its relaxed geometry, with properties calculated at the PBE level.

Geometry as extended XYZ:
```
5
Lattice="5.393 0.000 0.000 0.000 5.393 0.000 0.000 0.000 5.393" Properties=species:S:1:pos:R:3 pbc="T T T"
Ca 0.000 0.000 2.697
Ca 0.000 2.697 0.000
Ca 2.697 0.000 0.000
Sb 2.697 2.697 2.697
Os 0.000 0.000 0.000
```

Calculated values
Raw formation energy ... 0.120 eV/atom
Energy above the lowest structure with this stoichiometry ... 0.000 eV/atom
Total magnetic moment ... 1.0 Bohr magnetons per cell

***

Below is crystalline TbSmBeHg at its relaxed geometry, with properties calculated at the PBE level.

Geometry as extended XYZ:
```
16
Lattice="7.296 0.000 0.000 0.000 7.296 0.000 0.000 0.000 7.296" Properties=species:S:1:pos:R:3 pbc="T T T"
Tb 0.000 0.000 0.000
Tb 0.000 3.648 3.648
Tb 3.648 0.000 3.648
Tb 3.648 3.648 0.000
Sm 0.000 0.000 3.648
Sm 0.000 3.648 0.000
Sm 3.648 0.000 0.000
Sm 3.648 3.648 3.648
Be 1.824 1.824 1.824
Be 1.824 5.472 5.472
Be 5.472 1.824 5.472
Be 5.472 5.472 1.824
Hg 1.824 1.824 5.472
Hg 1.824 5.472 1.824
Hg 5.472 1.824 1.824
Hg 5.472 5.472 5.472
```

Calculated values
Formation enthalpy at 0 K ... -94 meV/atom
Total magnetic moment ... 2.1 Bohr magnetons per cell

***

Copy entry 3 word for word.
Below is crystalline Cd2FeAs at its relaxed geometry, with properties calculated at the PBE level.

Geometry as extended XYZ:
```
16
Lattice="10.074 0.000 0.000 0.000 10.074 0.000 0.000 0.000 4.350" Properties=species:S:1:pos:R:3 pbc="T T T"
Cd 0.000 0.000 0.000
Cd 0.000 5.037 0.000
Cd 2.518 2.518 3.262
Cd 2.518 7.555 1.087
Cd 5.037 0.000 2.175
Cd 5.037 5.037 2.175
Cd 7.555 2.518 3.262
Cd 7.555 7.555 1.087
Fe 0.000 2.518 3.806
Fe 0.000 7.555 0.544
Fe 5.037 2.518 2.719
Fe 5.037 7.555 1.631
As 0.000 2.518 1.631
As 0.000 7.555 2.719
As 5.037 2.518 0.544
As 5.037 7.555 3.806
```

Calculated values
Formation enthalpy at 0 K ... 239 meV/atom
Total magnetic moment ... 2.5 Bohr magnetons per cell